Computed, not measured: a relaxed structure of PaH2SO8 at the PBE level of DFT.

Calculated values
calculated volume	11.17	Å³ per atom
space-group type	No. 2
total DFT energy (no corrections)	-6.33	eV/atom

Cell lengths 4.226, 5.552, 6.293 Å; angles 108.86, 90.05, 74.42 degrees
Atoms (fractional coordinates):
O1 0.629 0.891 0.969
O2 0.135 0.786 0.124
O3 0.865 0.214 0.876
O4 0.634 0.762 0.424
O5 0.366 0.238 0.576
O6 0.861 0.223 0.245
O7 0.139 0.777 0.755
O8 0.371 0.109 0.031
Pa1 0.000 0.000 0.500
H1 0.704 0.571 0.326
H2 0.296 0.429 0.674
S1 0.000 0.000 0.000